Computed, not measured: a geometry-optimized Ca2CeHoAs4 structure at the PBE-GGA level of DFT.

**Size of the total moment**: 0.0 μB/f.u.
**Crystal system**: monoclinic
**Total energy**: -43.1 eV per formula unit
**ΔE_f**: -1243 meV/atom

Cell: 7.266 4.219 7.280 Å, 90.00 109.67 90.00°
Element x y z (fractional)
Ca: 0.000 0.000 0.000
Ca: 0.000 0.500 0.500
Ce: 0.500 0.000 0.500
Ho: 0.500 0.500 0.000
As: 0.264 0.000 0.756
As: 0.265 0.500 0.254
As: 0.735 0.500 0.746
As: 0.736 0.000 0.244